Record 1
A relaxed Ba2BeMoPt crystal. Source: the Alexandria database, functional PBE.

* energy: -0.1586 hartree per atom
* magnetization: 0.8560 μB per atom
* DOS(E_F): 0.792 states/eV per atom
* DFT formation energy: 0.572 eV per atom

Geometry as extended XYZ:
```
5
Lattice="-4.6272 -1.1199 3.9295 -1.5252 -3.1219 -2.6857 3.4783 -4.1946 2.9005" Properties=species:S:1:pos:R:3 pbc="T T T"
Pt 0.0000 0.0000 0.0000
Be -0.7626 -1.5609 -1.3428
Ba 1.7392 -2.0973 1.4502
Ba -2.3136 -0.5599 1.9648
Mo -1.3370 -4.2182 2.0722
```

---

Record 2
A relaxed BaBeMoS2 crystal. Source: the Alexandria database, functional PBE.

* formation energy (no corrections): 0.1156 eV/atom
* energy: -0.1776 hartree per atom
* magnetization: 0.7883 μB per atom
* DOS(E_F): 0.321 states/eV per atom

Geometry as extended XYZ:
```
5
Lattice="-4.0547 0.0044 -2.7674 2.4935 -0.1209 -3.6536 -0.0792 -4.9072 0.1083" Properties=species:S:1:pos:R:3 pbc="T T T"
Be 0.0000 0.0000 0.0000
Ba -0.8202 -2.5119 -3.1563
S -2.0273 0.0022 -1.3837
Mo 1.2468 -0.0604 -1.8268
S -0.0396 -2.4536 0.0542
```

---

Record 3
A relaxed Ba2TiBeMo crystal. Source: the Alexandria database, functional PBE.

* energy: -0.1463 hartree per atom
* magnetization: 0.1802 μB per atom
* DOS(E_F): 1.485 states/eV per atom
* DFT formation energy: 1.278 eV per atom

Geometry as extended XYZ:
```
5
Lattice="6.3324 0.0000 0.0000 0.0000 4.4974 0.0000 0.0000 0.0000 6.3324" Properties=species:S:1:pos:R:3 pbc="T T T"
Be 3.1662 2.2487 3.1662
Ba 0.0000 0.0000 3.1662
Ba 3.1662 0.0000 0.0000
Mo 0.0000 2.2487 0.0000
Ti 0.0000 0.0000 0.0000
```